(1)
A geometry-optimized Sm2Mn2InRh5 structure. Source: the Alexandria database, functional PBE.

Values from the calculation:
The formation energy comes out at -4.11 eV per formula unit. As for the space-group type: No. 127.

a b c (Å): 3.7718 9.6970 9.6970
angles (deg): 90.00 90.00 90.00
Last column: nearest neighbours and their distance in Å.
Positions (direct):
Sm  0.0000  0.6796  0.1796  3 Mn 2.77-2.95, 2 Rh 3.10
Sm  0.0000  0.3204  0.8204  3 Mn 2.77-2.95, 2 Rh 3.10
Sm  0.0000  0.1796  0.3204  3 Mn 2.77-2.95, 2 Rh 3.10
Sm  0.0000  0.8204  0.6796  3 Mn 2.77-2.95, 2 Rh 3.10
Mn  0.0000  0.1183  0.6183  6 Rh 2.49-2.56, 1 Sm 2.77
Mn  0.0000  0.8817  0.3817  6 Rh 2.49-2.56, 1 Sm 2.77
Mn  0.0000  0.6183  0.8817  6 Rh 2.49-2.56, 1 Sm 2.77
Mn  0.0000  0.3817  0.1183  6 Rh 2.49-2.56, 1 Sm 2.77
In  0.0000  0.0000  0.0000  8 Rh 2.86
In  0.0000  0.5000  0.5000  8 Rh 2.86
Rh  0.5000  0.2119  0.0653  2 Mn 2.56, 2 In 2.86
Rh  0.5000  0.7881  0.9347  2 Mn 2.56, 2 In 2.86
Rh  0.5000  0.0653  0.7881  2 Mn 2.56, 2 In 2.86
Rh  0.5000  0.7119  0.4347  2 Mn 2.56, 2 In 2.86
Rh  0.5000  0.9347  0.2119  2 Mn 2.56, 2 In 2.86
Rh  0.5000  0.2881  0.5653  2 Mn 2.56, 2 In 2.86
Rh  0.5000  0.5653  0.7119  2 Mn 2.56, 2 In 2.86
Rh  0.5000  0.4347  0.2881  2 Mn 2.56, 2 In 2.86
Rh  0.5000  0.5000  0.0000  4 Mn 2.49
Rh  0.5000  0.0000  0.5000  4 Mn 2.49

(2)
A geometry-optimized TlSn2As structure. Source: the Alexandria database, functional PBE.

Values from the calculation:
The formation energy comes out at 0.11 eV per formula unit. As for the space-group type: No. 160.

a b c (Å): 3.9867 3.9867 8.5585
angles (deg): 76.53 76.53 60.00
Last column: nearest neighbours and their distance in Å.
Positions (direct):
Tl  0.4995  0.4995  0.5016  6 Sn 3.32-3.34
Sn  0.0694  0.0694  0.7919  3 As 2.86
Sn  0.2637  0.2637  0.2088  3 As 2.89
As  0.6674  0.6674  0.9977  6 Sn 2.86-2.89

(3)
A geometry-optimized Er2Zn2Ni5Sn structure. Source: the Alexandria database, functional PBE.

Values from the calculation:
The formation energy comes out at -3.43 eV per formula unit. As for the space-group type: No. 127.

a b c (Å): 3.6298 9.2745 9.2745
angles (deg): 90.00 90.00 90.00
Last column: nearest neighbours and their distance in Å.
Positions (direct):
Er  0.0000  0.6794  0.1794  3 Zn 2.68-2.80, 2 Ni 2.97
Er  0.0000  0.3206  0.8206  3 Zn 2.68-2.80, 2 Ni 2.97
Er  0.0000  0.1794  0.3206  3 Zn 2.68-2.80, 2 Ni 2.97
Er  0.0000  0.8206  0.6794  3 Zn 2.68-2.80, 2 Ni 2.97
Zn  0.0000  0.1162  0.6162  6 Ni 2.37-2.46
Zn  0.0000  0.8838  0.3838  6 Ni 2.37-2.46
Zn  0.0000  0.6162  0.8838  6 Ni 2.37-2.46
Zn  0.0000  0.3838  0.1162  6 Ni 2.37-2.46
Ni  0.5000  0.2125  0.0638  2 Zn 2.46, 1 Ni 2.73, 2 Sn 2.74
Ni  0.5000  0.7875  0.9362  2 Zn 2.46, 1 Ni 2.73, 2 Sn 2.74
Ni  0.5000  0.0638  0.7875  2 Zn 2.46, 1 Ni 2.73, 2 Sn 2.74
Ni  0.5000  0.7125  0.4362  2 Zn 2.46, 1 Ni 2.73, 2 Sn 2.74
Ni  0.5000  0.9362  0.2125  2 Zn 2.46, 1 Ni 2.73, 2 Sn 2.74
Ni  0.5000  0.2875  0.5638  2 Zn 2.46, 1 Ni 2.73, 2 Sn 2.74
Ni  0.5000  0.5638  0.7125  2 Zn 2.46, 1 Ni 2.73, 2 Sn 2.74
Ni  0.5000  0.4362  0.2875  2 Zn 2.46, 1 Ni 2.73, 2 Sn 2.74
Ni  0.5000  0.5000  0.0000  4 Zn 2.37
Ni  0.5000  0.0000  0.5000  4 Zn 2.37
Sn  0.0000  0.0000  0.0000  8 Ni 2.74
Sn  0.0000  0.5000  0.5000  8 Ni 2.74

(4)
A geometry-optimized Rb3Tb3ErTe8 structure. Source: the Alexandria database, functional PBE.

Values from the calculation:
The formation energy from raw total energies comes out at -127.1 kJ per mole of atoms. As for the space-group type: No. 166.

a b c (Å): 8.8292 8.8341 10.2180
angles (deg): 115.64 90.00 120.00
Last column: nearest neighbours and their distance in Å.
Positions (direct):
Rb  0.0000  0.0000  0.0000  6 Te 3.67-3.69
Rb  0.0000  0.5000  0.0000  6 Te 3.68-3.69
Rb  0.5000  0.5000  0.0000  6 Te 3.68-3.69
Tb  0.5000  0.0000  0.5000  6 Te 3.10-3.11
Tb  0.5000  0.5000  0.5000  6 Te 3.10-3.11
Tb  0.0000  0.5000  0.5000  6 Te 3.10-3.11
Er  0.0000  0.0000  0.5000  6 Te 3.09
Te  0.2662  0.5325  0.2990  3 Tb 3.11
Te  0.7338  0.4675  0.7010  3 Tb 3.11
Te  0.7675  0.5349  0.3011  1 Er 3.09, 2 Tb 3.10
Te  0.2325  0.4651  0.6989  1 Er 3.09, 2 Tb 3.10
Te  0.7674  0.0333  0.3011  1 Er 3.09, 2 Tb 3.10
Te  0.2326  0.9667  0.6989  1 Er 3.09, 2 Tb 3.10
Te  0.2659  0.0333  0.3011  1 Er 3.09, 2 Tb 3.10
Te  0.7341  0.9667  0.6989  1 Er 3.09, 2 Tb 3.10

Repeat the second record exactly.
A geometry-optimized TlSn2As structure. Source: the Alexandria database, functional PBE.

Values from the calculation:
The formation energy comes out at 0.11 eV per formula unit. As for the space-group type: No. 160.

a b c (Å): 3.9867 3.9867 8.5585
angles (deg): 76.53 76.53 60.00
Last column: nearest neighbours and their distance in Å.
Positions (direct):
Tl  0.4995  0.4995  0.5016  6 Sn 3.32-3.34
Sn  0.0694  0.0694  0.7919  3 As 2.86
Sn  0.2637  0.2637  0.2088  3 As 2.89
As  0.6674  0.6674  0.9977  6 Sn 2.86-2.89